{"formula": "FeRuPb4", "functional": "GGA-PBE", "state": "relaxed", "formation_enthalpy_0k_ev_per_fu": 7.320, "dos_at_fermi_per_ev_cell": 7.580, "m_tot_mub_per_fu": 5.0, "energy_ev_per_atom": -4.209, "cell": [[0.000, 4.386, 4.386], [4.386, 0.000, 4.386], [4.386, 4.386, 0.000]], "species": ["Fe", "Ru", "Pb", "Pb", "Pb", "Pb"], "frac_coords": [[0.000, 0.000, 0.000], [0.250, 0.250, 0.250], [0.126, 0.625, 0.625], [0.625, 0.126, 0.625], [0.625, 0.625, 0.126], [0.625, 0.625, 0.625]]}